No. 1
Material: GdYSi2W2C
Method: DFT, GGA-PBE
State: optimized geometry

Unit cell a=5.877 b=5.877 c=7.156 alpha=123.12 beta=123.12 gamma=38.31
Sites, in units of the cell vectors:
Gd 0.000 0.000 0.000
Y 0.150 0.150 0.594
Si 0.443 0.443 0.634
Si 0.707 0.707 0.960
W 0.368 0.368 0.214
W 0.782 0.782 0.380
C 0.575 0.575 0.298

Computed properties:
Crystal system = monoclinic
Symmetry = No. 8
M_tot = 0.004 μB/f.u.
E_tot = -8.703 eV per atom

***

No. 2
Material: PrY2Mg3Tl2Zn
Method: DFT, GGA-PBE
State: optimized geometry

Unit cell a=4.622 b=7.599 c=7.599 alpha=121.07 beta=90.00 gamma=90.00
Sites, in units of the cell vectors:
Pr 0.000 0.000 0.000
Y 0.000 0.412 0.824
Y 0.000 0.824 0.412
Mg 0.500 0.180 0.415
Mg 0.500 0.415 0.180
Mg 0.500 0.650 0.650
Tl 0.500 0.082 0.741
Tl 0.500 0.741 0.082
Zn 0.000 0.423 0.423

Computed properties:
Crystal system = orthorhombic
Symmetry = No. 38
M_tot = 0.003 μB/f.u.
E_tot = -3.492 eV per atom

***

No. 3
Material: Zr2Al2Cu2NiPd
Method: DFT, GGA-PBE
State: optimized geometry

Unit cell a=4.415 b=4.415 c=6.293 alpha=90.00 beta=90.00 gamma=90.00
Sites, in units of the cell vectors:
Zr 0.000 0.500 0.238
Zr 0.500 0.000 0.762
Al 0.000 0.500 0.754
Al 0.500 0.000 0.246
Cu 0.000 0.000 0.000
Cu 0.500 0.500 0.500
Ni 0.500 0.500 0.000
Pd 0.000 0.000 0.500

Computed properties:
Crystal system = tetragonal
Symmetry = No. 115
M_tot = 0.005 μB/f.u.
E_tot = -5.888 eV per atom

***

No. 4
Material: CdGeO3
Method: DFT, GGA-PBE
State: optimized geometry

Unit cell a=5.887 b=5.887 c=5.887 alpha=56.19 beta=56.19 gamma=56.19
Sites, in units of the cell vectors:
Cd 0.000 0.000 0.000
Cd 0.500 0.500 0.500
Ge 0.250 0.250 0.250
Ge 0.750 0.750 0.750
O 0.059 0.750 0.441
O 0.250 0.559 0.941
O 0.441 0.059 0.750
O 0.559 0.941 0.250
O 0.750 0.441 0.059
O 0.941 0.250 0.559

Computed properties:
Crystal system = trigonal
Symmetry = No. 167
E_tot = -5.311 eV per atom

***

No. 5
Material: AcZrAs
Method: DFT, GGA-PBE
State: optimized geometry

Unit cell a=4.976 b=4.976 c=4.976 alpha=60.00 beta=60.00 gamma=60.00
Sites, in units of the cell vectors:
Ac 0.000 0.000 0.000
Zr 0.500 0.500 0.500
As 0.250 0.250 0.250

Computed properties:
Excess energy over the best structure of this formula in the dataset = 0 kJ/mol of formula units
Crystal system = cubic
Symmetry = No. 216
M_tot = 0.859 μB/f.u.
E_tot = -6.092 eV per atom

***

No. 6
Material: CsMgPa
Method: DFT, GGA-PBE
State: optimized geometry

Unit cell a=5.749 b=5.749 c=5.749 alpha=60.00 beta=60.00 gamma=60.00
Sites, in units of the cell vectors:
Cs 0.000 0.000 0.000
Mg 0.250 0.250 0.250
Pa 0.500 0.500 0.500

Computed properties:
Excess energy over the best structure of this formula in the dataset = 0 kJ/mol of formula units
Crystal system = cubic
Symmetry = No. 216
M_tot = 3.729 μB/f.u.
E_tot = -2.377 eV per atom

***

No. 7
Material: NaTaO3
Method: DFT, GGA-PBE
State: optimized geometry

Unit cell a=5.499 b=5.499 c=7.845 alpha=90.00 beta=90.00 gamma=90.53
Sites, in units of the cell vectors:
Na 0.004 0.996 0.750
Na 0.490 0.510 0.250
Na 0.510 0.490 0.750
Na 0.996 0.004 0.250
Ta 0.000 0.500 0.000
Ta 0.000 0.500 0.500
Ta 0.500 0.000 0.000
Ta 0.500 0.000 0.500
O 0.045 0.533 0.250
O 0.204 0.204 0.000
O 0.204 0.204 0.500
O 0.294 0.706 0.538
O 0.294 0.706 0.962
O 0.467 0.955 0.250
O 0.533 0.045 0.750
O 0.706 0.294 0.038
O 0.706 0.294 0.462
O 0.796 0.796 0.000
O 0.796 0.796 0.500
O 0.955 0.467 0.750

Computed properties:
Crystal system = orthorhombic
Symmetry = No. 63
M_tot = 0.000 μB/f.u.
E_tot = -8.255 eV per atom

***

No. 8
Material: MgTaNiPb
Method: DFT, GGA-PBE
State: optimized geometry

Unit cell a=4.692 b=4.692 c=4.692 alpha=60.00 beta=60.00 gamma=60.00
Sites, in units of the cell vectors:
Mg 0.000 0.000 0.000
Ta 0.750 0.750 0.750
Ni 0.500 0.500 0.500
Pb 0.250 0.250 0.250

Computed properties:
Excess energy over the best structure of this formula in the dataset = 0 kJ/mol of formula units
Crystal system = cubic
Symmetry = No. 216
M_tot = 1.043 μB/f.u.
E_tot = -5.083 eV per atom